First-principles (PBE) data for an optimized crystal structure of Zr2CdNiS, as listed in the Alexandria database.

Unit cell a=5.241 b=4.523 c=5.241 alpha=90.00 beta=90.00 gamma=90.00
Sites, in units of the cell vectors:
1 Zr 0.500 0.000 0.000
2 Cd 0.000 0.000 0.000
3 S 0.500 0.500 0.500
4 Ni 0.000 0.500 0.000
5 Zr 0.000 0.000 0.500

- Space group: No. 123
- Size of the total moment: 0.0 μB/cell
- Formation energy (no corrections): 1.007 eV per atom
- N(E_F): 3.4 states/eV/cell

***

First-principles (PBE) data for an optimized crystal structure of RbZnSb2As, as listed in the Alexandria database.

Unit cell a=6.125 b=5.743 c=6.125 alpha=90.00 beta=90.00 gamma=90.00
Sites, in units of the cell vectors:
1 Sb 0.500 0.000 0.000
2 Zn 0.500 0.500 0.500
3 Rb 0.000 0.000 0.000
4 Sb 0.000 0.000 0.500
5 As 0.000 0.500 0.000

- Space group: No. 123
- Size of the total moment: 0.0 μB/cell
- Formation energy (no corrections): 1.559 eV per atom
- N(E_F): 5.6 states/eV/cell

***

First-principles (PBE) data for an optimized crystal structure of BaSr2Be, as listed in the Alexandria database.

Unit cell a=3.943 b=3.943 c=10.627 alpha=90.00 beta=90.00 gamma=90.13
Sites, in units of the cell vectors:
1 Be 0.500 0.500 0.750
2 Ba 0.500 0.500 0.250
3 Sr 0.000 0.000 0.918
4 Sr 0.000 0.000 0.582

- ΔE_f: 0.296 eV/atom
- Space group: No. 65
- Size of the total moment: 0.0 μB/cell
- N(E_F): 4.9 states/eV/cell

***

First-principles (PBE) data for an optimized crystal structure of MoOs2CS, as listed in the Alexandria database.

Unit cell a=4.042 b=4.222 c=4.042 alpha=90.00 beta=90.00 gamma=90.00
Sites, in units of the cell vectors:
1 S 0.500 0.500 0.500
2 Mo 0.000 0.500 0.000
3 C 0.000 0.000 0.000
4 Os 0.000 0.000 0.500
5 Os 0.500 0.000 0.000

- Space group: No. 123
- Size of the total moment: 0.0 μB/cell
- Formation energy (no corrections): 0.849 eV per atom
- N(E_F): 4.5 states/eV/cell

***

First-principles (PBE) data for an optimized crystal structure of PmCuGeBi, as listed in the Alexandria database.

Unit cell a=5.098 b=5.098 c=5.098 alpha=60.00 beta=60.00 gamma=60.00
Sites, in units of the cell vectors:
1 Pm 0.000 0.000 0.000
2 Bi 0.500 0.500 0.500
3 Ge 0.750 0.750 0.750
4 Cu 0.250 0.250 0.250

- ΔE_f: -0.148 eV/atom
- Space group: No. 216
- Size of the total moment: 0.0 μB/cell
- N(E_F): 2.2 states/eV/cell

***

First-principles (PBE) data for an optimized crystal structure of NaCuAg2F8, as listed in the Alexandria database.

Unit cell a=5.393 b=5.393 c=6.651 alpha=113.92 beta=113.92 gamma=90.00
Site moments in Bohr magnetons follow the coordinates.
Sites, in units of the cell vectors:
1 Na 0.750 0.250 0.500  0.00
2 F 0.159 0.145 0.717  0.22
3 Ag 0.250 0.750 0.500  0.65
4 F 0.111 0.701 0.799  0.21
5 F 0.558 0.572 0.717  0.22
6 F 0.299 0.312 0.201  0.21
7 F 0.688 0.099 0.799  0.21
8 F 0.855 0.442 0.283  0.22
9 F 0.428 0.841 0.283  0.22
10 F 0.901 0.889 0.201  0.21
11 Ag 0.500 0.500 0.000  0.67
12 Cu 0.000 0.000 0.000  0.91

- Space group: No. 82
- Size of the total moment: 4.1 μB/cell
- Formation energy (no corrections): -1.361 eV per atom
- N(E_F): 8.0 states/eV/cell

***

Calculated volume? In order: 24.8; 43.1; 41.3; 13.8; 23.4; 13.2 Å³/atom.